K2TcPt: relaxed, PBEsol.

Computed properties:
Energy of formation: 1181 meV/atom
N(E_F): 0.92 states/eV/atom
Crystal system: cubic
VASP energy: -3.943 eV/atom
Mass density: 6.783 g/cm³
ΔE to the lowest computed polymorph: 704 meV/atom
Symmetry: No. 216

Unit cell a=5.047 b=5.047 c=5.047 alpha=60.00 beta=60.00 gamma=60.00
Last column: magnetic moment on the atom in μB.
Fractional positions:
Pt 0.500 0.500 0.500  0.41
K 0.750 0.750 0.750  0.01
K 0.000 0.000 0.000  0.03
Tc 0.250 0.250 0.250  3.14